## V2O3F3 (PBE+U)

Data for a geometry-optimized V2O3F3 structure.

ρ: 3.246 g/cm³
N(E_F): 0.45 states/eV/cell
E_tot: -6.5959 eV per atom

The structure in POSCAR format:
```
V2O3F3
1.0
-2.0225 1.7269 4.5920
-3.8783 -3.6908 -0.3202
4.0974 -5.0013 3.6854
F O V
6 6 4
Direct
0.4667 0.5000 0.0000 F
0.7019 0.1920 0.7787 F
0.9471 0.0000 0.5000 F
0.3080 0.7995 0.7209 F
0.7019 0.8080 0.2213 F
0.3080 0.2005 0.2791 F
0.8137 0.6962 0.7758 O
0.0418 0.0000 0.0000 O
0.8137 0.3038 0.2242 O
0.5666 0.5000 0.5000 O
0.2114 0.6979 0.2790 O
0.2114 0.3021 0.7210 O
0.4722 0.4703 0.7326 V
0.9818 0.0440 0.2342 V
0.4722 0.5297 0.2674 V
0.9818 0.9560 0.7658 V
```